TbCe2PrSe4 after structural relaxation, computed with PBE.

Summary:
* total DFT energy (no corrections): -6.217 eV/atom
* uncorrected formation energy: -41.86 kcal/mol of atoms
* space-group type: No. 10
* total magnetic moment: 0.15 μB/cell

The structure in CIF format:
```
data_TbCe2PrSe4
_chemical_formula_sum 'Tb1 Ce2 Pr1 Se4'
_cell_length_a 4.177
_cell_length_b 7.256
_cell_length_c 7.287
_cell_angle_alpha 70.75
_cell_angle_beta 90.00
_cell_angle_gamma 90.00
_symmetry_space_group_name_H-M 'P 1'
_symmetry_Int_Tables_number 1
_symmetry_space_group_name_Hall 'P 1'
loop_
_atom_site_label
_atom_site_fract_x
_atom_site_fract_y
_atom_site_fract_z
Tb1 0.000 0.500 0.500
Ce1 0.000 0.000 0.000
Ce2 0.500 0.000 0.500
Pr1 0.500 0.500 0.000
Se1 0.000 0.750 0.743
Se2 0.000 0.250 0.257
Se3 0.500 0.745 0.259
Se4 0.500 0.255 0.741
```

Tb3CePr2Se6 after structural relaxation, computed with PBE.

Summary:
* total DFT energy (no corrections): -6.002 eV/atom
* uncorrected formation energy: -41.76 kcal/mol of atoms
* space-group type: No. 12
* total magnetic moment: 1.21 μB/cell

The structure in CIF format:
```
data_Tb3CePr2Se6
_chemical_formula_sum 'Tb3 Ce1 Pr2 Se6'
_cell_length_a 4.132
_cell_length_b 8.433
_cell_length_c 9.357
_cell_angle_alpha 103.98
_cell_angle_beta 102.76
_cell_angle_gamma 90.00
_symmetry_space_group_name_H-M 'P 1'
_symmetry_Int_Tables_number 1
_symmetry_space_group_name_Hall 'P 1'
loop_
_atom_site_label
_atom_site_fract_x
_atom_site_fract_y
_atom_site_fract_z
Tb1 0.500 0.500 0.000
Tb2 0.832 0.165 0.664
Tb3 0.168 0.835 0.336
Ce1 0.500 0.000 0.000
Pr1 0.834 0.667 0.667
Pr2 0.166 0.333 0.333
Se1 0.332 0.926 0.663
Se2 0.663 0.592 0.327
Se3 0.668 0.074 0.337
Se4 0.996 0.255 0.992
Se5 0.004 0.745 0.008
Se6 0.337 0.408 0.673
```

Tb2Ce3PrSe6 after structural relaxation, computed with PBE.

Summary:
* total DFT energy (no corrections): -6.212 eV/atom
* uncorrected formation energy: -41.87 kcal/mol of atoms
* space-group type: No. 12
* total magnetic moment: 2.98 μB/cell

The structure in CIF format:
```
data_Tb2Ce3PrSe6
_chemical_formula_sum 'Tb2 Ce3 Pr1 Se6'
_cell_length_a 7.222
_cell_length_b 7.222
_cell_length_c 7.269
_cell_angle_alpha 99.54
_cell_angle_beta 99.54
_cell_angle_gamma 120.03
_symmetry_space_group_name_H-M 'P 1'
_symmetry_Int_Tables_number 1
_symmetry_space_group_name_Hall 'P 1'
loop_
_atom_site_label
_atom_site_fract_x
_atom_site_fract_y
_atom_site_fract_z
Tb1 0.333 0.667 0.000
Tb2 0.667 0.333 0.000
Ce1 0.163 0.837 0.500
Ce2 0.837 0.163 0.500
Ce3 0.500 0.500 0.500
Pr1 0.000 0.000 0.000
Se1 0.918 0.576 0.754
Se2 0.738 0.738 0.242
Se3 0.082 0.424 0.246
Se4 0.576 0.918 0.754
Se5 0.262 0.262 0.758
Se6 0.424 0.082 0.246
```

TbCe2Pr3Se6 after structural relaxation, computed with PBE.

Summary:
* total DFT energy (no corrections): -6.142 eV/atom
* uncorrected formation energy: -42.21 kcal/mol of atoms
* space-group type: No. 12
* total magnetic moment: 1.83 μB/cell

The structure in CIF format:
```
data_TbCe2Pr3Se6
_chemical_formula_sum 'Tb1 Ce2 Pr3 Se6'
_cell_length_a 7.293
_cell_length_b 7.293
_cell_length_c 7.327
_cell_angle_alpha 99.57
_cell_angle_beta 99.57
_cell_angle_gamma 120.07
_symmetry_space_group_name_H-M 'P 1'
_symmetry_Int_Tables_number 1
_symmetry_space_group_name_Hall 'P 1'
loop_
_atom_site_label
_atom_site_fract_x
_atom_site_fract_y
_atom_site_fract_z
Tb1 0.000 0.000 0.000
Ce1 0.334 0.666 0.000
Ce2 0.666 0.334 0.000
Pr1 0.167 0.833 0.500
Pr2 0.833 0.167 0.500
Pr3 0.500 0.500 0.500
Se1 0.920 0.591 0.759
Se2 0.752 0.752 0.242
Se3 0.080 0.409 0.241
Se4 0.591 0.920 0.759
Se5 0.248 0.248 0.758
Se6 0.409 0.080 0.241
```

TbCePr2Se5 after structural relaxation, computed with PBE.

Summary:
* total DFT energy (no corrections): -5.462 eV/atom
* uncorrected formation energy: -29.75 kcal/mol of atoms
* space-group type: No. 123
* total magnetic moment: 1.53 μB/cell

The structure in CIF format:
```
data_TbCePr2Se5
_chemical_formula_sum 'Tb1 Ce1 Pr2 Se5'
_cell_length_a 5.182
_cell_length_b 5.182
_cell_length_c 11.061
_cell_angle_alpha 90.00
_cell_angle_beta 90.00
_cell_angle_gamma 90.00
_symmetry_space_group_name_H-M 'P 1'
_symmetry_Int_Tables_number 1
_symmetry_space_group_name_Hall 'P 1'
loop_
_atom_site_label
_atom_site_fract_x
_atom_site_fract_y
_atom_site_fract_z
Tb1 0.000 0.000 0.500
Ce1 0.000 0.000 0.000
Pr1 0.500 0.500 0.329
Pr2 0.500 0.500 0.671
Se1 0.000 0.500 0.500
Se2 0.500 0.000 0.500
Se3 0.000 0.000 0.749
Se4 0.000 0.000 0.251
Se5 0.500 0.500 0.000
```

CePrTeSe after structural relaxation, computed with PBE.

Summary:
* total DFT energy (no corrections): -5.957 eV/atom
* ΔE to the lowest computed polymorph: 0.0 meV per atom
* uncorrected formation energy: -37.41 kcal/mol of atoms
* space-group type: No. 160
* total magnetic moment: 1.08 μB/cell

The structure in CIF format:
```
data_CePrTeSe
_chemical_formula_sum 'Ce1 Pr1 Te1 Se1'
_cell_length_a 4.343
_cell_length_b 4.343
_cell_length_c 7.675
_cell_angle_alpha 73.57
_cell_angle_beta 73.57
_cell_angle_gamma 60.00
_symmetry_space_group_name_H-M 'P 1'
_symmetry_Int_Tables_number 1
_symmetry_space_group_name_Hall 'P 1'
loop_
_atom_site_label
_atom_site_fract_x
_atom_site_fract_y
_atom_site_fract_z
Ce1 0.259 0.259 0.224
Pr1 0.741 0.741 0.777
Te1 0.501 0.501 0.496
Se1 0.999 0.999 0.003
```